The following is a DFT calculation (PBE-GGA) of a relaxed KNaTa2C crystal.

Structure (CIF):
```
data_KNaTa2C
_cell_length_a 5.000
_cell_length_b 5.000
_cell_length_c 4.514
_cell_angle_alpha 90.00
_cell_angle_beta 90.00
_cell_angle_gamma 90.00
_space_group_name_H-M_alt 'P 4/m m m'
_space_group_IT_number 123
_space_group_name_Hall '-P 4 2'
loop_
_atom_site_label
_atom_site_type_symbol
_atom_site_fract_x
_atom_site_fract_y
_atom_site_fract_z
_atom_site_occupancy
K1 K 0.000 0.000 0.000 1
Na1 Na 0.500 0.500 0.500 1
Ta1 Ta 0.000 0.500 0.500 1
C1 C 0.500 0.500 0.000 1
```

Results
DOS(E_F), states/eV/cell: 6.5
Energy relative to the elements, kJ/mol of formula units: 1523
Uncorrected energy, eV/atom: -3.912

=====

The following is a DFT calculation (PBE-GGA) of a relaxed KNbC2 crystal.

Structure (CIF):
```
data_KNbC2
_cell_length_a 5.967
_cell_length_b 5.967
_cell_length_c 5.967
_cell_angle_alpha 90.00
_cell_angle_beta 90.00
_cell_angle_gamma 90.00
_space_group_name_H-M_alt 'F m -3 m'
_space_group_IT_number 225
_space_group_name_Hall '-F 4 2 3'
loop_
_atom_site_label
_atom_site_type_symbol
_atom_site_fract_x
_atom_site_fract_y
_atom_site_fract_z
_atom_site_occupancy
K1 K 0.000 0.000 0.000 1
Nb1 Nb 0.000 0.000 0.500 1
C1 C 0.250 0.250 0.250 1
```

Results
E above lowest polymorph, meV/atom: 1304.8
DOS(E_F), states/eV/cell: 8.9
Energy relative to the elements, kJ/mol of formula units: 831
Uncorrected energy, eV/atom: -5.250

=====

The following is a DFT calculation (PBE-GGA) of a relaxed KNbC2 crystal.

Structure (CIF):
```
data_KNbC2
_cell_length_a 6.239
_cell_length_b 6.239
_cell_length_c 9.310
_cell_angle_alpha 90.00
_cell_angle_beta 90.00
_cell_angle_gamma 90.00
_space_group_name_H-M_alt 'I -4 2 d'
_space_group_IT_number 122
_space_group_name_Hall 'I -4 2bw'
loop_
_atom_site_label
_atom_site_type_symbol
_atom_site_fract_x
_atom_site_fract_y
_atom_site_fract_z
_atom_site_occupancy
K1 K 0.000 0.000 0.000 1
Nb1 Nb 0.000 0.000 0.500 1
C1 C 0.091 0.250 0.625 1
```

Results
E above lowest polymorph, meV/atom: 0.0
DOS(E_F), states/eV/cell: 10.7
Energy relative to the elements, kJ/mol of formula units: 328
Uncorrected energy, eV/atom: -6.555

=====

The following is a DFT calculation (PBE-GGA) of a relaxed K3NbC crystal.

Structure (CIF):
```
data_K3NbC
_cell_length_a 5.748
_cell_length_b 5.748
_cell_length_c 5.748
_cell_angle_alpha 90.00
_cell_angle_beta 90.00
_cell_angle_gamma 90.00
_space_group_name_H-M_alt 'P m -3 m'
_space_group_IT_number 221
_space_group_name_Hall '-P 4 2 3'
loop_
_atom_site_label
_atom_site_type_symbol
_atom_site_fract_x
_atom_site_fract_y
_atom_site_fract_z
_atom_site_occupancy
K1 K 0.000 0.000 0.500 1
Nb1 Nb 0.500 0.500 0.500 1
C1 C 0.000 0.000 0.000 1
```

Results
E above lowest polymorph, meV/atom: 0.0
DOS(E_F), states/eV/cell: 7.5
Energy relative to the elements, kJ/mol of formula units: 927
Uncorrected energy, eV/atom: -2.596

=====

The following is a DFT calculation (PBE-GGA) of a relaxed KNb2C crystal.

Structure (CIF):
```
data_KNb2C
_cell_length_a 6.651
_cell_length_b 6.651
_cell_length_c 9.453
_cell_angle_alpha 90.00
_cell_angle_beta 90.00
_cell_angle_gamma 90.00
_space_group_name_H-M_alt 'I 41/a m d'
_space_group_IT_number 141
loop_
_space_group_symop_operation_xyz
'x,y,z'
'-x,-y,-z'
'-y+1/4,x+3/4,z+1/4'
'y+1/4,-x+3/4,-z+1/4'
'-x+1/2,-y,z+1/2'
'x+1/2,y,-z+1/2'
'y+1/4,-x+1/4,z+3/4'
'-y+1/4,x+1/4,-z+3/4'
'x,-y,-z'
'-x,y,z'
'-y+1/4,-x+1/4,-z+3/4'
'y+1/4,x+1/4,z+3/4'
'-x+1/2,y,-z+1/2'
'x+1/2,-y,z+1/2'
'y+1/4,x+3/4,-z+1/4'
'-y+1/4,-x+3/4,z+1/4'
'x+1/2,y+1/2,z+1/2'
'-x+1/2,-y+1/2,-z+1/2'
'-y+3/4,x+1/4,z+3/4'
'y+3/4,-x+1/4,-z+3/4'
'-x,-y+1/2,z'
'x,y+1/2,-z'
'y+3/4,-x+3/4,z+1/4'
'-y+3/4,x+3/4,-z+1/4'
'x+1/2,-y+1/2,-z+1/2'
'-x+1/2,y+1/2,z+1/2'
'-y+3/4,-x+3/4,-z+1/4'
'y+3/4,x+3/4,z+1/4'
'-x,y+1/2,-z'
'x,-y+1/2,z'
'y+3/4,x+1/4,-z+3/4'
'-y+3/4,-x+1/4,z+3/4'
loop_
_atom_site_label
_atom_site_type_symbol
_atom_site_fract_x
_atom_site_fract_y
_atom_site_fract_z
_atom_site_occupancy
K1 K 0.000 0.250 0.375 1
Nb1 Nb 0.000 0.000 0.000 1
C1 C 0.000 0.250 0.875 1
```

Results
DOS(E_F), states/eV/cell: 26.1
Energy relative to the elements, kJ/mol of formula units: 394
Uncorrected energy, eV/atom: -6.593

=====

The following is a DFT calculation (PBE-GGA) of a relaxed KNbCO2 crystal.

Structure (CIF):
```
data_KNbCO2
_cell_length_a 3.949
_cell_length_b 3.949
_cell_length_c 8.349
_cell_angle_alpha 90.00
_cell_angle_beta 90.00
_cell_angle_gamma 90.00
_space_group_name_H-M_alt 'P 4/m m m'
_space_group_IT_number 123
_space_group_name_Hall '-P 4 2'
loop_
_atom_site_label
_atom_site_type_symbol
_atom_site_fract_x
_atom_site_fract_y
_atom_site_fract_z
_atom_site_occupancy
K1 K 0.000 0.000 0.000 1
Nb1 Nb 0.000 0.000 0.500 1
C1 C 0.500 0.500 0.000 1
O1 O 0.000 0.500 0.500 1
```

Results
Uncorrected formation energy, eV/atom: -0.05
DOS(E_F), states/eV/cell: 1.3
Uncorrected energy, eV/atom: -6.113

=====

The following is a DFT calculation (PBE-GGA) of a relaxed KNbRe2C crystal.

Structure (CIF):
```
data_KNbRe2C
_cell_length_a 4.461
_cell_length_b 4.461
_cell_length_c 4.619
_cell_angle_alpha 90.00
_cell_angle_beta 90.00
_cell_angle_gamma 90.00
_space_group_name_H-M_alt 'P 4/m m m'
_space_group_IT_number 123
_space_group_name_Hall '-P 4 2'
loop_
_atom_site_label
_atom_site_type_symbol
_atom_site_fract_x
_atom_site_fract_y
_atom_site_fract_z
_atom_site_occupancy
K1 K 0.000 0.000 0.000 1
Nb1 Nb 0.000 0.000 0.500 1
Re1 Re 0.000 0.500 0.000 1
C1 C 0.500 0.500 0.500 1
```

Results
DOS(E_F), states/eV/cell: 6.2
Energy relative to the elements, kJ/mol of formula units: 2223
Uncorrected energy, eV/atom: -4.449

=====

The following is a DFT calculation (PBE-GGA) of a relaxed KNbRh2C crystal.

Structure (CIF):
```
data_KNbRh2C
_cell_length_a 4.483
_cell_length_b 4.483
_cell_length_c 4.964
_cell_angle_alpha 90.00
_cell_angle_beta 90.00
_cell_angle_gamma 90.00
_space_group_name_H-M_alt 'P 4/m m m'
_space_group_IT_number 123
_space_group_name_Hall '-P 4 2'
loop_
_atom_site_label
_atom_site_type_symbol
_atom_site_fract_x
_atom_site_fract_y
_atom_site_fract_z
_atom_site_occupancy
K1 K 0.000 0.000 0.000 1
Nb1 Nb 0.000 0.000 0.500 1
Rh1 Rh 0.000 0.500 0.000 1
C1 C 0.500 0.500 0.500 1
```

Results
E above lowest polymorph, meV/atom: 2567.5
DOS(E_F), states/eV/cell: 7.6
Energy relative to the elements, kJ/mol of formula units: 1729
Uncorrected energy, eV/atom: -3.435

=====

The following is a DFT calculation (PBE-GGA) of a relaxed KNbRh2C crystal.

Structure (CIF):
```
data_KNbRh2C
_cell_length_a 4.076
_cell_length_b 4.076
_cell_length_c 4.999
_cell_angle_alpha 90.00
_cell_angle_beta 90.00
_cell_angle_gamma 90.00
_space_group_name_H-M_alt 'P 4/m m m'
_space_group_IT_number 123
_space_group_name_Hall '-P 4 2'
loop_
_atom_site_label
_atom_site_type_symbol
_atom_site_fract_x
_atom_site_fract_y
_atom_site_fract_z
_atom_site_occupancy
K1 K 0.000 0.000 0.000 1
Nb1 Nb 0.500 0.500 0.000 1
Rh1 Rh 0.000 0.500 0.500 1
C1 C 0.000 0.000 0.500 1
```

Results
E above lowest polymorph, meV/atom: 0.0
DOS(E_F), states/eV/cell: 4.7
Energy relative to the elements, kJ/mol of formula units: 490
Uncorrected energy, eV/atom: -6.003

=====

The following is a DFT calculation (PBE-GGA) of a relaxed KNd2C crystal.

Structure (CIF):
```
data_KNd2C
_cell_length_a 3.7394
_cell_length_b 3.7394
_cell_length_c 33.0379
_cell_angle_alpha 90.00
_cell_angle_beta 90.00
_cell_angle_gamma 120.00
_space_group_name_H-M_alt 'R -3 m'
_space_group_IT_number 166
_space_group_name_Hall '-R 3 2"'
loop_
_atom_site_label
_atom_site_type_symbol
_atom_site_fract_x
_atom_site_fract_y
_atom_site_fract_z
_atom_site_occupancy
K1 K 0.0000 0.0000 0.0000 1
Nd1 Nd 0.0000 0.0000 0.1244 1
C1 C 0.0000 0.0000 0.5000 1
```

Results
DOS(E_F), states/eV/cell: 10.6
Energy relative to the elements, kJ/mol of formula units: 15
Uncorrected energy, eV/atom: -4.926

=====

The following is a DFT calculation (PBE-GGA) of a relaxed KNdC2O6 crystal.

Structure (CIF):
```
data_KNdC2O6
_cell_length_a 8.649
_cell_length_b 9.948
_cell_length_c 7.209
_cell_angle_alpha 90.00
_cell_angle_beta 110.95
_cell_angle_gamma 90.00
_space_group_name_H-M_alt 'C 1 2/c 1'
_space_group_IT_number 15
loop_
_space_group_symop_operation_xyz
'x,y,z'
'-x,-y,-z'
'-x,y,-z+1/2'
'x,-y,z+1/2'
'x+1/2,y+1/2,z'
'-x+1/2,-y+1/2,-z'
'-x+1/2,y+1/2,-z+1/2'
'x+1/2,-y+1/2,z+1/2'
loop_
_atom_site_label
_atom_site_type_symbol
_atom_site_fract_x
_atom_site_fract_y
_atom_site_fract_z
_atom_site_occupancy
K1 K 0.000 0.124 0.250 1
Nd1 Nd 0.000 0.404 0.750 1
C1 C 0.233 0.377 0.258 1
O1 O 0.090 0.385 0.110 1
O2 O 0.176 0.228 0.718 1
O3 O 0.227 0.023 0.620 1
```

Results
Uncorrected formation energy, eV/atom: -2.13
E above lowest polymorph, meV/atom: 0.0
DOS(E_F), states/eV/cell: 0.0
Uncorrected energy, eV/atom: -7.541

=====

The following is a DFT calculation (PBE-GGA) of a relaxed K2NdC2O6 crystal.

Structure (CIF):
```
data_K2NdC2O6
_cell_length_a 5.8009
_cell_length_b 5.8009
_cell_length_c 6.3355
_cell_angle_alpha 90.00
_cell_angle_beta 90.00
_cell_angle_gamma 120.00
_space_group_name_H-M_alt 'P -3'
_space_group_IT_number 147
loop_
_space_group_symop_operation_xyz
'x,y,z'
'-x,-y,-z'
'-y,x-y,z'
'y,-x+y,-z'
'-x+y,-x,z'
'x-y,x,-z'
loop_
_atom_site_label
_atom_site_type_symbol
_atom_site_fract_x
_atom_site_fract_y
_atom_site_fract_z
_atom_site_occupancy
K1 K 0.3333 0.6667 0.3288 1
Nd1 Nd 0.0000 0.0000 0.0000 1
C1 C 0.3333 0.6667 0.8201 1
O1 O 0.2021 0.4061 0.8076 1
```

Results
Uncorrected formation energy, eV/atom: -1.84
DOS(E_F), states/eV/cell: 2.8
Uncorrected energy, eV/atom: -6.852

=====

The following is a DFT calculation (PBE-GGA) of a relaxed KNdC2O6 crystal.

Structure (CIF):
```
data_KNdC2O6
_cell_length_a 9.844
_cell_length_b 6.549
_cell_length_c 8.701
_cell_angle_alpha 90.00
_cell_angle_beta 90.00
_cell_angle_gamma 90.00
_space_group_name_H-M_alt 'P m n 21'
_space_group_IT_number 31
loop_
_space_group_symop_operation_xyz
'x,y,z'
'-x+1/2,-y,z+1/2'
'-x,y,z'
'x+1/2,-y,z+1/2'
loop_
_atom_site_label
_atom_site_type_symbol
_atom_site_fract_x
_atom_site_fract_y
_atom_site_fract_z
_atom_site_occupancy
K1 K 0.238 0.045 0.000 1
Nd1 Nd 0.000 0.473 0.766 1
Nd2 Nd 0.000 0.535 0.265 1
C1 C 0.000 0.917 0.768 1
C2 C 0.000 0.979 0.258 1
C3 C 0.250 0.467 0.573 1
O1 O 0.000 0.113 0.785 1
O2 O 0.000 0.176 0.255 1
O3 O 0.000 0.874 0.131 1
O4 O 0.000 0.879 0.388 1
O5 O 0.114 0.814 0.762 1
O6 O 0.133 0.479 0.508 1
O7 O 0.137 0.469 0.014 1
O8 O 0.246 0.608 0.213 1
```

Results
Uncorrected formation energy, eV/atom: -2.13
E above lowest polymorph, meV/atom: 4.7
DOS(E_F), states/eV/cell: 0.0
Uncorrected energy, eV/atom: -7.536

=====

The following is a DFT calculation (PBE-GGA) of a relaxed KNi3C crystal.

Structure (CIF):
```
data_KNi3C
_cell_length_a 3.995
_cell_length_b 3.995
_cell_length_c 3.995
_cell_angle_alpha 90.00
_cell_angle_beta 90.00
_cell_angle_gamma 90.00
_space_group_name_H-M_alt 'P m -3 m'
_space_group_IT_number 221
_space_group_name_Hall '-P 4 2 3'
loop_
_atom_site_label
_atom_site_type_symbol
_atom_site_fract_x
_atom_site_fract_y
_atom_site_fract_z
_atom_site_occupancy
K1 K 0.000 0.000 0.000 1
Ni1 Ni 0.000 0.500 0.500 1
C1 C 0.500 0.500 0.500 1
```

Results
E above lowest polymorph, meV/atom: 0.0
DOS(E_F), states/eV/cell: 7.4
Energy relative to the elements, kJ/mol of formula units: 277
Uncorrected energy, eV/atom: -4.960

=====

The following is a DFT calculation (PBE-GGA) of a relaxed KNi3C crystal.

Structure (CIF):
```
data_KNi3C
_cell_length_a 4.396
_cell_length_b 4.396
_cell_length_c 4.396
_cell_angle_alpha 90.00
_cell_angle_beta 90.00
_cell_angle_gamma 90.00
_space_group_name_H-M_alt 'P m -3 m'
_space_group_IT_number 221
_space_group_name_Hall '-P 4 2 3'
loop_
_atom_site_label
_atom_site_type_symbol
_atom_site_fract_x
_atom_site_fract_y
_atom_site_fract_z
_atom_site_occupancy
K1 K 0.000 0.000 0.000 1
Ni1 Ni 0.000 0.000 0.500 1
C1 C 0.500 0.500 0.500 1
```

Results
E above lowest polymorph, meV/atom: 2713.3
DOS(E_F), states/eV/cell: 7.6
Energy relative to the elements, kJ/mol of formula units: 1586
Uncorrected energy, eV/atom: -2.246